1.
# HoEr3Th2

A relaxed HoEr3Th2 crystal (PBE, Alexandria via LeMat-Bulk).

abc: 9.9725 3.5518 10.5787
angles: 90.00 90.05 90.00
Fractional coordinates of all 12 atoms:
Ho1 0.1238 0.2500 0.2508
Ho2 0.8762 0.7500 0.7492
Er1 0.1310 0.2500 0.9179
Er2 0.3696 0.7500 0.4178
Er3 0.3761 0.7500 0.7508
Er4 0.6239 0.2500 0.2492
Er5 0.6304 0.2500 0.5822
Er6 0.8690 0.7500 0.0821
Th1 0.1233 0.2500 0.5828
Th2 0.3774 0.7500 0.0828
Th3 0.6226 0.2500 0.9172
Th4 0.8767 0.7500 0.4172

formation enthalpy at 0 K	0.03	eV per atom
space-group type	P2_1/m, No. 11

=====

2.
# Dy2PbAu

A relaxed Dy2PbAu crystal (PBE, Alexandria via LeMat-Bulk).

abc: 8.8545 8.8545 8.8545
angles: 25.51 25.51 25.51
Fractional coordinates of all 4 atoms:
Dy1 0.2394 0.2394 0.2394
Dy2 0.7606 0.7606 0.7606
Pb1 0.0000 0.0000 0.0000
Au1 0.5000 0.5000 0.5000

formation enthalpy at 0 K	-0.52	eV per atom
space-group type	R-3m, No. 166

=====

3.
# PmNdAgHg

A relaxed PmNdAgHg crystal (PBE, Alexandria via LeMat-Bulk).

abc: 5.3515 5.3515 5.3515
angles: 60.00 60.00 60.00
Fractional coordinates of all 4 atoms:
Pm1 0.0000 0.0000 0.0000
Nd1 0.5000 0.5000 0.5000
Ag1 0.7500 0.7500 0.7500
Hg1 0.2500 0.2500 0.2500

formation enthalpy at 0 K	-0.37	eV per atom
space-group type	F-43m, No. 216